KTl2In (PBE-GGA, relaxed); raw total energy = -2.244 eV/atom; calculated volume = 135.70 Å³/f.u.; energy relative to the elements = -0.10 eV/atom
1.0
6.9818 0.0000 0.0000
0.0000 5.0208 0.0000
-3.3064 0.0000 7.7425
K Tl In
2 4 2
Cartesian
0.0866 1.2552 3.1754
3.5889 3.7656 4.5672
-1.9567 1.2552 6.8050
0.1343 3.7656 5.8623
3.5412 1.2552 1.8803
5.6322 3.7656 0.9375
1.8693 3.7656 0.9808
1.8061 1.2552 6.7618